{
  "formula": "BaSnGe2S8",
  "functional": "PBE-GGA",
  "state": "optimized geometry",
  "spacegroup": "No. 147",
  "magmom_total_mub_per_fu": 0.595,
  "dft_energy_ev_per_atom": -4.4486,
  "lattice": [[-4.094, -1.140, 4.278], [0.384, -3.581, -4.837], [6.080, -5.299, 4.406]],
  "species": ["Ge", "S", "S", "Sn", "S", "Ge", "S", "S", "S", "S", "S", "Ba"],
  "fractional_positions": [[0.667, 0.333, 0.258], [0.657, 0.966, 0.319], [0.309, 0.343, 0.319], [0.000, 0.000, 0.500], [0.343, 0.034, 0.681], [0.333, 0.667, 0.742], [0.691, 0.657, 0.681], [0.333, 0.667, 0.983], [0.034, 0.691, 0.319], [0.667, 0.333, 0.017], [0.966, 0.309, 0.681], [0.000, 0.000, 0.000]]
}